Entry from Alexandria via LeMat-Bulk: an optimized crystal structure of AlNiBr2 (PBE).

Output
Polymorph energy (0 for the lowest one): 478 meV/atom
E_form (uncorrected): 0.205 eV per atom
Total DFT energy (no corrections): -3.013 eV per atom
SG: C2/m, No. 12

abc: 4.9984 4.9984 4.9987
angles: 63.18 63.18 95.35
Sites, in units of the cell vectors:
Ni: 0.5000 0.0000 0.5000
Br: 0.0000 0.0000 0.0000
Br: 0.5000 0.5000 0.0000
Al: 0.0000 0.5000 0.5000